Record 1
# CuSnCl GGA-PBE relaxed
data_CuSnCl
_cell_length_a 11.590
_cell_length_b 3.651
_cell_length_c 3.667
_cell_angle_alpha 90.00
_cell_angle_beta 106.88
_cell_angle_gamma 90.00
_space_group_name_H-M_alt 'C 1 m 1'
_space_group_IT_number 8
loop_
_space_group_symop_operation_xyz
'x,y,z'
'x,-y,z'
'x+1/2,y+1/2,z'
'x+1/2,-y+1/2,z'
loop_
_atom_site_label
_atom_site_type_symbol
_atom_site_fract_x
_atom_site_fract_y
_atom_site_fract_z
Cu1 Cu 0.000 0.000 0.000
Sn1 Sn 0.432 0.000 0.444
Cl1 Cl 0.205 0.000 0.313
# **Magnetization**: 0.00 μB/f.u.
# **Distance to the lowest polymorph of the same formula**: 33 meV per atom
# **E_form (uncorrected)**: -0.2489 eV per atom
# **Density of states at the Fermi level**: 1.65 states/eV per cell
# **Total DFT energy (no corrections)**: -3.56 eV per atom


Record 2
# Cu2SnCl5 GGA-PBE relaxed
data_Cu2SnCl5
_cell_length_a 5.074
_cell_length_b 13.448
_cell_length_c 13.542
_cell_angle_alpha 90.00
_cell_angle_beta 90.00
_cell_angle_gamma 90.00
_space_group_name_H-M_alt 'C m c m'
_space_group_IT_number 63
_space_group_name_Hall '-C 2c 2'
loop_
_atom_site_label
_atom_site_type_symbol
_atom_site_fract_x
_atom_site_fract_y
_atom_site_fract_z
Cu1 Cu 0.000 0.218 0.090
Sn1 Sn 0.000 0.085 0.750
Cl1 Cl 0.000 0.046 0.116
Cl2 Cl 0.000 0.262 0.575
Cl3 Cl 0.000 0.297 0.250
# **Magnetization**: 0.99 μB/f.u.
# **E_form (uncorrected)**: -0.6051 eV per atom
# **Density of states at the Fermi level**: 23.55 states/eV per cell
# **Total DFT energy (no corrections)**: -3.28 eV per atom


Record 3
# Cu3SnCl GGA-PBE relaxed
data_Cu3SnCl
_cell_length_a 4.559
_cell_length_b 4.559
_cell_length_c 4.559
_cell_angle_alpha 90.00
_cell_angle_beta 90.00
_cell_angle_gamma 90.00
_space_group_name_H-M_alt 'P m -3 m'
_space_group_IT_number 221
_space_group_name_Hall '-P 4 2 3'
loop_
_atom_site_label
_atom_site_type_symbol
_atom_site_fract_x
_atom_site_fract_y
_atom_site_fract_z
Cu1 Cu 0.000 0.000 0.500
Sn1 Sn 0.500 0.500 0.500
Cl1 Cl 0.000 0.000 0.000
# **Magnetization**: 0.00 μB/f.u.
# **Distance to the lowest polymorph of the same formula**: 0 meV per atom
# **E_form (uncorrected)**: 0.6107 eV per atom
# **Density of states at the Fermi level**: 2.17 states/eV per cell
# **Total DFT energy (no corrections)**: -3.02 eV per atom


Record 4
# Cu3Sn5Cl12 GGA-PBE relaxed
data_Cu3Sn5Cl12
_cell_length_a 16.573
_cell_length_b 16.573
_cell_length_c 16.573
_cell_angle_alpha 90.00
_cell_angle_beta 90.00
_cell_angle_gamma 90.00
_space_group_name_H-M_alt 'I a -3 d'
_space_group_IT_number 230
_space_group_name_Hall '-I 4bd 2c 3'
loop_
_atom_site_label
_atom_site_type_symbol
_atom_site_fract_x
_atom_site_fract_y
_atom_site_fract_z
Cu1 Cu 0.000 0.250 0.125
Sn1 Sn 0.000 0.000 0.000
Sn2 Sn 0.000 0.250 0.375
Cl1 Cl 0.027 0.089 0.646
# **Magnetization**: 0.00 μB/f.u.
# **E_form (uncorrected)**: -0.4545 eV per atom
# **Density of states at the Fermi level**: 32.11 states/eV per cell
# **Total DFT energy (no corrections)**: -3.18 eV per atom


Record 5
# CuSnCl2 GGA-PBE relaxed
data_CuSnCl2
_cell_length_a 7.046
_cell_length_b 7.046
_cell_length_c 7.046
_cell_angle_alpha 90.00
_cell_angle_beta 90.00
_cell_angle_gamma 90.00
_space_group_name_H-M_alt 'F m -3 m'
_space_group_IT_number 225
_space_group_name_Hall '-F 4 2 3'
loop_
_atom_site_label
_atom_site_type_symbol
_atom_site_fract_x
_atom_site_fract_y
_atom_site_fract_z
Cu1 Cu 0.000 0.000 0.000
Sn1 Sn 0.000 0.000 0.500
Cl1 Cl 0.250 0.250 0.250
# **Magnetization**: 0.00 μB/f.u.
# **Distance to the lowest polymorph of the same formula**: 346 meV per atom
# **E_form (uncorrected)**: -0.0793 eV per atom
# **Density of states at the Fermi level**: 6.22 states/eV per cell
# **Total DFT energy (no corrections)**: -3.03 eV per atom


Record 6
# CuSnCl GGA-PBE relaxed
data_CuSnCl
_cell_length_a 3.445
_cell_length_b 3.468
_cell_length_c 7.300
_cell_angle_alpha 102.73
_cell_angle_beta 90.22
_cell_angle_gamma 119.53
_space_group_name_H-M_alt 'P 1'
_space_group_IT_number 1
loop_
_space_group_symop_operation_xyz
'x,y,z'
loop_
_atom_site_label
_atom_site_type_symbol
_atom_site_fract_x
_atom_site_fract_y
_atom_site_fract_z
Cu1 Cu 0.000 0.000 0.000
Sn1 Sn 0.581 0.167 0.726
Cl1 Cl 0.391 0.777 0.185
# **Magnetization**: 0.00 μB/f.u.
# **Distance to the lowest polymorph of the same formula**: 79 meV per atom
# **E_form (uncorrected)**: -0.2032 eV per atom
# **Density of states at the Fermi level**: 0.62 states/eV per cell
# **Total DFT energy (no corrections)**: -3.52 eV per atom


Q: Number 5 is which compound?
A: CuSnCl2


Q: Look up the E_form (uncorrected) of the fifth one.
A: -0.0793 eV per atom


What did the fifth record say?
# CuSnCl2 GGA-PBE relaxed
data_CuSnCl2
_cell_length_a 7.046
_cell_length_b 7.046
_cell_length_c 7.046
_cell_angle_alpha 90.00
_cell_angle_beta 90.00
_cell_angle_gamma 90.00
_space_group_name_H-M_alt 'F m -3 m'
_space_group_IT_number 225
_space_group_name_Hall '-F 4 2 3'
loop_
_atom_site_label
_atom_site_type_symbol
_atom_site_fract_x
_atom_site_fract_y
_atom_site_fract_z
Cu1 Cu 0.000 0.000 0.000
Sn1 Sn 0.000 0.000 0.500
Cl1 Cl 0.250 0.250 0.250
# **Magnetization**: 0.00 μB/f.u.
# **Distance to the lowest polymorph of the same formula**: 346 meV per atom
# **E_form (uncorrected)**: -0.0793 eV per atom
# **Density of states at the Fermi level**: 6.22 states/eV per cell
# **Total DFT energy (no corrections)**: -3.03 eV per atom